(1)
Compound: LiGaAg2Pb
Source: Alexandria via LeMat-Bulk
Functional: GGA-PBE
Structure: optimized geometry

Unit cell a=5.384 b=5.384 c=5.477 alpha=90.00 beta=90.00 gamma=90.00
Space group P4/mmm (No. 123)
Inequivalent atoms, fractional coordinates:
Li 0.000 0.000 0.000 x1
Ga 0.500 0.500 0.000 x1
Ag 0.000 0.500 0.500 x2
Pb 0.500 0.500 0.500 x1

Fermi-level density of states   1.99 states/eV/f.u.
Energy of formation   0.487 eV/atom
Spin magnetization   0.00 μB/cell
Density   5.22 Mg/m³

***

(2)
Compound: Li5GaAg2Pd2
Source: Alexandria via LeMat-Bulk
Functional: GGA-PBE
Structure: optimized geometry

Unit cell a=9.163 b=9.163 c=3.929 alpha=90.00 beta=90.00 gamma=90.00
Space group P4/mbm (No. 127)
Inequivalent atoms, fractional coordinates:
Li 0.000 0.500 0.000 x2
Li 0.075 0.202 0.000 x8
Ga 0.000 0.000 0.500 x2
Ag 0.179 0.679 0.500 x4
Pd 0.113 0.387 0.500 x4

Fermi-level density of states   1.78 states/eV/f.u.
Energy of formation   -0.212 eV/atom
Spin magnetization   0.00 μB/cell
Density   5.37 Mg/m³

***

(3)
Compound: LiGaAgPd
Source: Alexandria via LeMat-Bulk
Functional: GGA-PBE
Structure: optimized geometry

Unit cell a=6.202 b=6.202 c=6.202 alpha=90.00 beta=90.00 gamma=90.00
Space group F-43m (No. 216)
Inequivalent atoms, fractional coordinates:
Li 0.000 0.000 0.000 x4
Ga 0.000 0.000 0.500 x4
Ag 0.250 0.250 0.250 x4
Pd 0.250 0.250 0.750 x4

Fermi-level density of states   1.03 states/eV/f.u.
Energy of formation   -0.438 eV/atom
Spin magnetization   0.00 μB/cell
Density   8.10 Mg/m³

***

(4)
Compound: LiPmGa4Ag2
Source: Alexandria via LeMat-Bulk
Functional: GGA-PBE
Structure: optimized geometry

Unit cell a=4.4875 b=4.4875 c=25.8347 alpha=90.00 beta=90.00 gamma=120.00
Space group R-3m (No. 166, hexagonal axes)
Inequivalent atoms, fractional coordinates:
Li 0.0000 0.0000 0.0000 x3
Pm 0.0000 0.0000 0.5000 x3
Ga 0.0000 0.0000 0.1058 x6
Ga 0.0000 0.0000 0.3740 x6
Ag 0.0000 0.0000 0.2642 x6

Fermi-level density of states   2.45 states/eV/f.u.
Energy of formation   -0.300 eV/atom
Spin magnetization   0.00 μB/cell
Density   7.15 Mg/m³

***

(5)
Compound: LiPmGaAg
Source: Alexandria via LeMat-Bulk
Functional: GGA-PBE
Structure: optimized geometry

Unit cell a=6.827 b=6.827 c=6.827 alpha=90.00 beta=90.00 gamma=90.00
Space group F-43m (No. 216)
Inequivalent atoms, fractional coordinates:
Li 0.000 0.000 0.000 x4
Pm 0.250 0.250 0.750 x4
Ga 0.000 0.000 0.500 x4
Ag 0.250 0.250 0.250 x4

Fermi-level density of states   0.96 states/eV/f.u.
Energy of formation   -0.351 eV/atom
Spin magnetization   0.00 μB/cell
Density   6.88 Mg/m³

***

(6)
Compound: LiPmGa2Ag
Source: Alexandria via LeMat-Bulk
Functional: GGA-PBE
Structure: optimized geometry

Unit cell a=4.190 b=4.190 c=11.521 alpha=90.00 beta=90.00 gamma=90.00
Space group I-4m2 (No. 119)
Inequivalent atoms, fractional coordinates:
Li 0.000 0.000 0.000 x2
Pm 0.000 0.500 0.250 x2
Ga 0.000 0.500 0.642 x4
Ag 0.000 0.000 0.500 x2

Fermi-level density of states   3.23 states/eV/f.u.
Energy of formation   -0.411 eV/atom
Spin magnetization   0.00 μB/cell
Density   6.56 Mg/m³

***

(7)
Compound: LiGaAgPt2
Source: Alexandria via LeMat-Bulk
Functional: GGA-PBE
Structure: optimized geometry

Unit cell a=4.316 b=4.316 c=4.315 alpha=90.00 beta=90.00 gamma=90.00
Space group P4/mmm (No. 123)
Inequivalent atoms, fractional coordinates:
Li 0.000 0.000 0.000 x1
Ga 0.500 0.500 0.500 x1
Ag 0.000 0.000 0.500 x1
Pt 0.000 0.500 0.000 x2

Fermi-level density of states   2.08 states/eV/f.u.
Energy of formation   0.252 eV/atom
Spin magnetization   0.00 μB/cell
Density   11.87 Mg/m³

***

(8)
Compound: LiGa2AgPt
Source: Alexandria via LeMat-Bulk
Functional: GGA-PBE
Structure: optimized geometry

Unit cell a=4.810 b=4.810 c=5.204 alpha=90.00 beta=90.00 gamma=90.00
Space group P4/mmm (No. 123)
Inequivalent atoms, fractional coordinates:
Li 0.000 0.000 0.000 x1
Ga 0.000 0.500 0.500 x2
Ag 0.500 0.500 0.500 x1
Pt 0.500 0.500 0.000 x1

Fermi-level density of states   2.53 states/eV/f.u.
Energy of formation   0.423 eV/atom
Spin magnetization   0.00 μB/cell
Density   6.20 Mg/m³

***

(9)
Compound: LiPuGaAg
Source: Alexandria via LeMat-Bulk
Functional: GGA-PBE
Structure: optimized geometry

Unit cell a=6.806 b=6.806 c=6.806 alpha=90.00 beta=90.00 gamma=90.00
Space group F-43m (No. 216)
Inequivalent atoms, fractional coordinates:
Li 0.000 0.000 0.000 x4
Pu 0.250 0.250 0.250 x4
Ga 0.000 0.000 0.500 x4
Ag 0.250 0.250 0.750 x4

Fermi-level density of states   15.82 states/eV/f.u.
Energy of formation   -0.037 eV/atom
Spin magnetization   21.47 μB/cell
Density   9.03 Mg/m³

***

(10)
Compound: RbLiGa2Ag
Source: Alexandria via LeMat-Bulk
Functional: GGA-PBE
Structure: optimized geometry

Unit cell a=4.936 b=4.936 c=5.709 alpha=90.00 beta=90.00 gamma=90.00
Space group P4/mmm (No. 123)
Inequivalent atoms, fractional coordinates:
Rb 0.000 0.000 0.000 x1
Li 0.000 0.000 0.500 x1
Ga 0.000 0.500 0.500 x2
Ag 0.500 0.500 0.000 x1

Fermi-level density of states   2.66 states/eV/f.u.
Energy of formation   0.388 eV/atom
Spin magnetization   0.00 μB/cell
Density   4.06 Mg/m³
Excess energy over the best structure of this formula in the dataset   309 meV per atom

***

(11)
Compound: RbLiGa2Ag
Source: Alexandria via LeMat-Bulk
Functional: GGA-PBE
Structure: optimized geometry

Unit cell a=5.073 b=5.073 c=5.375 alpha=90.00 beta=90.00 gamma=90.00
Space group P4/mmm (No. 123)
Inequivalent atoms, fractional coordinates:
Rb 0.000 0.000 0.000 x1
Li 0.500 0.500 0.000 x1
Ga 0.000 0.500 0.500 x2
Ag 0.500 0.500 0.500 x1

Fermi-level density of states   2.17 states/eV/f.u.
Energy of formation   0.080 eV/atom
Spin magnetization   0.00 μB/cell
Density   4.08 Mg/m³
Excess energy over the best structure of this formula in the dataset   0 meV per atom

***

(12)
Compound: LiGaAgRu
Source: Alexandria via LeMat-Bulk
Functional: GGA-PBE
Structure: optimized geometry

Unit cell a=6.096 b=6.096 c=6.096 alpha=90.00 beta=90.00 gamma=90.00
Space group F-43m (No. 216)
Inequivalent atoms, fractional coordinates:
Li 0.000 0.000 0.000 x4
Ga 0.000 0.000 0.500 x4
Ag 0.250 0.250 0.750 x4
Ru 0.250 0.250 0.250 x4

Fermi-level density of states   1.40 states/eV/f.u.
Energy of formation   -0.109 eV/atom
Spin magnetization   0.00 μB/cell
Density   8.37 Mg/m³

***

(13)
Compound: LiGa2Ag7Sb2
Source: Alexandria via LeMat-Bulk
Functional: GGA-PBE
Structure: optimized geometry

Unit cell a=5.789 b=5.754 c=14.272 alpha=90.00 beta=96.82 gamma=90.00
Space group C2/m (No. 12)
Inequivalent atoms, fractional coordinates:
Li 0.000 0.000 0.000 x2
Ga 0.093 0.500 0.283 x4
Ag 0.000 0.500 0.000 x2
Ag 0.203 0.250 0.855 x8
Ag 0.234 0.500 0.469 x4
Sb 0.115 0.000 0.333 x4

Fermi-level density of states   2.49 states/eV/f.u.
ΔE_f (raw)   0.03 eV/atom
Spin magnetization   0.00 μB/cell
Density   8.06 Mg/m³

***

(14)
Compound: LiGaAgSb
Source: Alexandria via LeMat-Bulk
Functional: GGA-PBE
Structure: optimized geometry

Unit cell a=6.872 b=6.872 c=6.872 alpha=90.00 beta=90.00 gamma=90.00
Space group F-43m (No. 216)
Inequivalent atoms, fractional coordinates:
Li 0.000 0.000 0.000 x4
Ga 0.250 0.250 0.250 x4
Ag 0.000 0.000 0.500 x4
Sb 0.250 0.250 0.750 x4

Fermi-level density of states   0.81 states/eV/f.u.
ΔE_f (raw)   -0.16 eV/atom
Spin magnetization   0.00 μB/cell
Density   6.27 Mg/m³

***

(15)
Compound: Li2ScGa2Ag2
Source: Alexandria via LeMat-Bulk
Functional: GGA-PBE
Structure: optimized geometry

Unit cell a=7.880 b=4.527 c=7.296 alpha=90.00 beta=110.61 gamma=90.00
Space group C2/m (No. 12)
Inequivalent atoms, fractional coordinates:
Li 0.141 0.000 0.426 x4
Sc 0.000 0.000 0.000 x2
Ga 0.085 0.500 0.755 x4
Ag 0.230 0.500 0.193 x4

Fermi-level density of states   3.16 states/eV/f.u.
Energy of formation   -0.321 eV/atom
Spin magnetization   0.00 μB/cell
Density   5.64 Mg/m³

***

(16)
Compound: LiSc2GaAg
Source: Alexandria via LeMat-Bulk
Functional: GGA-PBE
Structure: optimized geometry

Unit cell a=5.263 b=5.263 c=4.774 alpha=90.00 beta=90.00 gamma=90.00
Space group P4/mmm (No. 123)
Inequivalent atoms, fractional coordinates:
Li 0.000 0.000 0.000 x1
Sc 0.000 0.500 0.500 x2
Ga 0.500 0.500 0.000 x1
Ag 0.500 0.500 0.500 x1

Fermi-level density of states   6.53 states/eV/f.u.
Energy of formation   0.348 eV/atom
Spin magnetization   0.00 μB/cell
Density   3.45 Mg/m³

***

(17)
Compound: LiSmGaAg
Source: Alexandria via LeMat-Bulk
Functional: GGA-PBE
Structure: optimized geometry

Unit cell a=6.966 b=6.966 c=6.966 alpha=90.00 beta=90.00 gamma=90.00
Space group F-43m (No. 216)
Inequivalent atoms, fractional coordinates:
Li 0.000 0.000 0.000 x4
Sm 0.000 0.000 0.500 x4
Ga 0.250 0.250 0.750 x4
Ag 0.250 0.250 0.250 x4

Fermi-level density of states   2.58 states/eV/f.u.
Energy of formation   -0.338 eV/atom
Spin magnetization   0.00 μB/cell
Density   6.58 Mg/m³

***

(18)
Compound: Li3Ga2Ag4Sn2
Source: Alexandria via LeMat-Bulk
Functional: GGA-PBE
Structure: optimized geometry

Unit cell a=4.4727 b=4.4727 c=13.0054 alpha=90.00 beta=90.00 gamma=120.00
Space group P-3m1 (No. 164)
Inequivalent atoms, fractional coordinates:
Li 0.0000 0.0000 0.0000 x1
Li 0.0000 0.0000 0.2731 x2
Ga 0.3333 0.6667 0.5699 x2
Ag 0.3333 0.6667 0.3662 x2
Ag 0.3333 0.6667 0.9292 x2
Sn 0.3333 0.6667 0.1530 x2

Fermi-level density of states   6.11 states/eV/f.u.
Energy of formation   -0.117 eV/atom
Spin magnetization   0.00 μB/cell
Density   6.11 Mg/m³

***

(19)
Compound: Li5GaAg2Sn2
Source: Alexandria via LeMat-Bulk
Functional: GGA-PBE
Structure: optimized geometry

Unit cell a=10.004 b=10.004 c=3.710 alpha=90.00 beta=90.00 gamma=90.00
Space group P4/mbm (No. 127)
Inequivalent atoms, fractional coordinates:
Li 0.000 0.500 0.000 x2
Li 0.064 0.193 0.000 x8
Ga 0.000 0.000 0.500 x2
Ag 0.131 0.369 0.500 x4
Sn 0.168 0.668 0.500 x4

Fermi-level density of states   4.52 states/eV/f.u.
Energy of formation   -0.183 eV/atom
Spin magnetization   0.00 μB/cell
Density   4.99 Mg/m³

***

(20)
Compound: LiGa2Ag7Sn2
Source: Alexandria via LeMat-Bulk
Functional: GGA-PBE
Structure: optimized geometry

Unit cell a=5.916 b=5.890 c=13.477 alpha=90.00 beta=95.54 gamma=90.00
Space group C2/m (No. 12)
Inequivalent atoms, fractional coordinates:
Li 0.000 0.000 0.000 x2
Ga 0.041 0.500 0.296 x4
Ag 0.000 0.500 0.000 x2
Ag 0.219 0.249 0.851 x8
Ag 0.238 0.500 0.482 x4
Sn 0.052 0.000 0.322 x4

Fermi-level density of states   2.75 states/eV/f.u.
Energy of formation   0.005 eV/atom
Spin magnetization   0.00 μB/cell
Density   8.09 Mg/m³

***

(21)
Compound: SrLiGaAg2
Source: Alexandria via LeMat-Bulk
Functional: GGA-PBE
Structure: optimized geometry

Unit cell a=5.002 b=5.002 c=4.928 alpha=90.00 beta=90.00 gamma=90.00
Space group P4/mmm (No. 123)
Inequivalent atoms, fractional coordinates:
Sr 0.000 0.000 0.000 x1
Li 0.500 0.500 0.000 x1
Ga 0.500 0.500 0.500 x1
Ag 0.000 0.500 0.500 x2

Fermi-level density of states   1.92 states/eV/f.u.
Energy of formation   -0.135 eV/atom
Spin magnetization   0.00 μB/cell
Density   5.12 Mg/m³
Excess energy over the best structure of this formula in the dataset   142 meV per atom

***

(22)
Compound: Sr3LiGa2Ag6
Source: Alexandria via LeMat-Bulk
Functional: GGA-PBE
Structure: optimized geometry

Unit cell a=6.4594 b=6.4594 c=8.4744 alpha=90.00 beta=90.00 gamma=120.00
Space group P-3m1 (No. 164)
Inequivalent atoms, fractional coordinates:
Sr 0.0000 0.0000 0.0000 x1
Sr 0.3333 0.6667 0.6683 x2
Li 0.0000 0.0000 0.5000 x1
Ga 0.3333 0.6667 0.0625 x2
Ag 0.1794 0.3588 0.3117 x6

Fermi-level density of states   7.43 states/eV/f.u.
Energy of formation   -0.124 eV/atom
Spin magnetization   0.00 μB/cell
Density   5.73 Mg/m³

***

(23)
Compound: SrLiGaAg6
Source: Alexandria via LeMat-Bulk
Functional: GGA-PBE
Structure: optimized geometry

Unit cell a=7.347 b=9.373 c=11.199 alpha=90.00 beta=90.00 gamma=90.00
Space group Imma (No. 74)
Inequivalent atoms, fractional coordinates:
Sr 0.000 0.250 0.206 x4
Li 0.250 0.250 0.750 x4
Ga 0.000 0.000 0.000 x4
Ag 0.000 0.250 0.507 x4
Ag 0.000 0.250 0.911 x4
Ag 0.191 0.007 0.627 x16

Fermi-level density of states   2.13 states/eV/f.u.
Energy of formation   -0.012 eV/atom
Spin magnetization   0.00 μB/cell
Density   6.99 Mg/m³

***

(24)
Compound: SrLi2GaAg2
Source: Alexandria via LeMat-Bulk
Functional: GGA-PBE
Structure: optimized geometry

Unit cell a=4.967 b=4.967 c=6.268 alpha=90.00 beta=90.00 gamma=90.00
Space group P4/mmm (No. 123)
Inequivalent atoms, fractional coordinates:
Sr 0.000 0.000 0.000 x1
Li 0.500 0.500 0.272 x2
Ga 0.000 0.000 0.500 x1
Ag 0.000 0.500 0.500 x2

Fermi-level density of states   4.04 states/eV/f.u.
Energy of formation   -0.081 eV/atom
Spin magnetization   0.01 μB/cell
Density   4.16 Mg/m³